## A
Below is Al2TlSi at its PBEsol-relaxed geometry, with properties calculated at the meta-GGA SCAN level.

```
data_Al2TlSi
_chemical_formula_sum 'Al2 Tl1 Si1'
_space_group_name_H-M_alt 'P 4/m m m'
_space_group_IT_number 123
_space_group_name_Hall '-P 4 2'
_cell_length_a 4.582
_cell_length_b 4.582
_cell_length_c 3.650
_cell_angle_alpha 90.00
_cell_angle_beta 90.00
_cell_angle_gamma 90.00
loop_
_atom_site_label
_atom_site_fract_x
_atom_site_fract_y
_atom_site_fract_z
Al1 0.000 0.500 0.000
Tl1 0.000 0.000 0.500
Si1 0.500 0.500 0.500
```

Total magnetic moment ... 0.0 μB/cell
Volume ... 76.6 Å³/f.u.

=====

## B
Below is Al2TlSi at its PBEsol-relaxed geometry, with properties calculated at the meta-GGA SCAN level.

```
data_Al2TlSi
_chemical_formula_sum 'Al4 Tl2 Si2'
_space_group_name_H-M_alt 'I -4 m 2'
_space_group_IT_number 119
_space_group_name_Hall 'I -4 -2'
_cell_length_a 3.988
_cell_length_b 3.988
_cell_length_c 9.603
_cell_angle_alpha 90.00
_cell_angle_beta 90.00
_cell_angle_gamma 90.00
loop_
_atom_site_label
_atom_site_fract_x
_atom_site_fract_y
_atom_site_fract_z
Al1 0.000 0.000 0.000
Al2 0.000 0.500 0.250
Tl1 0.000 0.500 0.750
Si1 0.000 0.000 0.500
```

Total magnetic moment ... 0.0 μB/cell
Volume ... 76.4 Å³/f.u.

=====

Stability, lowest: A

=====

## A
Below is Al2TlSi at its PBEsol-relaxed geometry, with properties calculated at the meta-GGA SCAN level.

```
data_Al2TlSi
_chemical_formula_sum 'Al2 Tl1 Si1'
_space_group_name_H-M_alt 'P 4 m m'
_space_group_IT_number 99
_cell_length_a 3.177
_cell_length_b 3.177
_cell_length_c 7.784
_cell_angle_alpha 90.00
_cell_angle_beta 90.00
_cell_angle_gamma 90.00
loop_
_space_group_symop_operation_xyz
'x,y,z'
'-y,x,z'
'-x,-y,z'
'y,-x,z'
'-x,y,z'
'y,x,z'
'x,-y,z'
'-y,-x,z'
loop_
_atom_site_label
_atom_site_fract_x
_atom_site_fract_y
_atom_site_fract_z
Al1 0.000 0.000 0.000
Al2 0.500 0.500 0.214
Tl1 0.500 0.500 0.696
Si1 0.000 0.000 0.395
```

Total magnetic moment ... 0.0 μB/cell
Volume ... 78.5 Å³/f.u.

=====

## B
Below is Al2TlSi at its PBEsol-relaxed geometry, with properties calculated at the meta-GGA SCAN level.

```
data_Al2TlSi
_chemical_formula_sum 'Al6 Tl3 Si3'
_space_group_name_H-M_alt 'R -3 m'
_space_group_IT_number 166
_space_group_name_Hall '-R 3 2"'
_cell_length_a 3.0723
_cell_length_b 3.0723
_cell_length_c 28.3666
_cell_angle_alpha 90.00
_cell_angle_beta 90.00
_cell_angle_gamma 120.00
loop_
_atom_site_label
_atom_site_fract_x
_atom_site_fract_y
_atom_site_fract_z
Al1 0.0000 0.0000 0.2379
Tl1 0.0000 0.0000 0.0000
Si1 0.0000 0.0000 0.5000
```

Total magnetic moment ... 0.0 μB/cell
Volume ... 77.3 Å³/f.u.

=====

Stability, lowest: B

=====

## A
Below is Zr3Al3Si2 at its PBEsol-relaxed geometry, with properties calculated at the meta-GGA SCAN level.

```
data_Zr3Al3Si2
_chemical_formula_sum 'Zr3 Al3 Si2'
_space_group_name_H-M_alt 'P -6 2 m'
_space_group_IT_number 189
_space_group_name_Hall 'P -6 -2'
_cell_length_a 6.5583
_cell_length_b 6.5583
_cell_length_c 3.7419
_cell_angle_alpha 90.00
_cell_angle_beta 90.00
_cell_angle_gamma 120.00
loop_
_atom_site_label
_atom_site_fract_x
_atom_site_fract_y
_atom_site_fract_z
Zr1 0.0000 0.6169 0.0000
Al1 0.0000 0.2447 0.5000
Si1 0.3333 0.6667 0.5000
```

Total magnetic moment ... 0.1 μB/cell
Volume ... 139.4 Å³/f.u.

=====

## B
Below is Zr3Al3Si2 at its PBEsol-relaxed geometry, with properties calculated at the meta-GGA SCAN level.

```
data_Zr3Al3Si2
_chemical_formula_sum 'Zr3 Al3 Si2'
_space_group_name_H-M_alt 'P -6 2 m'
_space_group_IT_number 189
_space_group_name_Hall 'P -6 -2'
_cell_length_a 7.2690
_cell_length_b 7.2690
_cell_length_c 3.0631
_cell_angle_alpha 90.00
_cell_angle_beta 90.00
_cell_angle_gamma 120.00
loop_
_atom_site_label
_atom_site_fract_x
_atom_site_fract_y
_atom_site_fract_z
Zr1 0.0000 0.7524 0.0000
Al1 0.0000 0.4048 0.5000
Si1 0.3333 0.6667 0.0000
```

Total magnetic moment ... 0.0 μB/cell
Volume ... 140.2 Å³/f.u.

=====

Stability, lowest: B

=====

## A
Below is Sm3Al at its PBEsol-relaxed geometry, with properties calculated at the meta-GGA SCAN level.

```
data_Sm3Al
_chemical_formula_sum 'Sm6 Al2'
_space_group_name_H-M_alt 'P 63/m m c'
_space_group_IT_number 194
_space_group_name_Hall '-P 6c 2c'
_cell_length_a 6.8753
_cell_length_b 6.8753
_cell_length_c 5.2816
_cell_angle_alpha 90.00
_cell_angle_beta 90.00
_cell_angle_gamma 120.00
loop_
_atom_site_label
_atom_site_fract_x
_atom_site_fract_y
_atom_site_fract_z
Sm1 0.1769 0.3538 0.2500
Al1 0.3333 0.6667 0.7500
```

Total magnetic moment ... 0.6 μB/cell
Volume ... 108.1 Å³/f.u.

=====

## B
Below is Sm3Al at its PBEsol-relaxed geometry, with properties calculated at the meta-GGA SCAN level.

```
data_Sm3Al
_chemical_formula_sum 'Sm3 Al1'
_space_group_name_H-M_alt 'P m -3 m'
_space_group_IT_number 221
_space_group_name_Hall '-P 4 2 3'
_cell_length_a 4.759
_cell_length_b 4.759
_cell_length_c 4.759
_cell_angle_alpha 90.00
_cell_angle_beta 90.00
_cell_angle_gamma 90.00
loop_
_atom_site_label
_atom_site_fract_x
_atom_site_fract_y
_atom_site_fract_z
Sm1 0.000 0.000 0.500
Al1 0.500 0.500 0.500
```

Total magnetic moment ... 0.8 μB/cell
Volume ... 107.8 Å³/f.u.

=====

Stability, lowest: B

=====

## A
Below is Sr2AlTe at its PBEsol-relaxed geometry, with properties calculated at the meta-GGA SCAN level.

```
data_Sr2AlTe
_chemical_formula_sum 'Sr8 Al4 Te4'
_space_group_name_H-M_alt 'I -4 2 d'
_space_group_IT_number 122
_space_group_name_Hall 'I -4 2bw'
_cell_length_a 8.687
_cell_length_b 8.687
_cell_length_c 7.527
_cell_angle_alpha 90.00
_cell_angle_beta 90.00
_cell_angle_gamma 90.00
loop_
_atom_site_label
_atom_site_fract_x
_atom_site_fract_y
_atom_site_fract_z
Sr1 0.244 0.250 0.125
Al1 0.000 0.000 0.500
Te1 0.000 0.000 0.000
```

Total magnetic moment ... 0.0 μB/cell
Volume ... 142.0 Å³/f.u.

=====

## B
Below is Sr2AlTe at its PBEsol-relaxed geometry, with properties calculated at the meta-GGA SCAN level.

```
data_Sr2AlTe
_chemical_formula_sum 'Sr4 Al2 Te2'
_space_group_name_H-M_alt 'C m m m'
_space_group_IT_number 65
_space_group_name_Hall '-C 2 2'
_cell_length_a 7.164
_cell_length_b 8.786
_cell_length_c 3.913
_cell_angle_alpha 90.00
_cell_angle_beta 90.00
_cell_angle_gamma 90.00
loop_
_atom_site_label
_atom_site_fract_x
_atom_site_fract_y
_atom_site_fract_z
Sr1 0.250 0.250 0.000
Al1 0.000 0.000 0.500
Te1 0.000 0.500 0.500
```

Total magnetic moment ... 0.0 μB/cell
Volume ... 123.2 Å³/f.u.

=====

Stability, lowest: A

=====

## A
Below is SrYAl2 at its PBEsol-relaxed geometry, with properties calculated at the meta-GGA SCAN level.

```
data_SrYAl2
_chemical_formula_sum 'Sr3 Y3 Al6'
_space_group_name_H-M_alt 'R 3 m'
_space_group_IT_number 160
_space_group_name_Hall 'R 3 -2"'
_cell_length_a 4.4735
_cell_length_b 4.4735
_cell_length_c 20.1970
_cell_angle_alpha 90.00
_cell_angle_beta 90.00
_cell_angle_gamma 120.00
loop_
_atom_site_label
_atom_site_fract_x
_atom_site_fract_y
_atom_site_fract_z
Sr1 0.0000 0.0000 0.0000
Y1 0.0000 0.0000 0.8030
Al1 0.0000 0.0000 0.2087
Al2 0.0000 0.0000 0.5593
```

Total magnetic moment ... 1.1 μB/cell
Volume ... 116.7 Å³/f.u.

=====

## B
Below is SrYAl2 at its PBEsol-relaxed geometry, with properties calculated at the meta-GGA SCAN level.

```
data_SrYAl2
_chemical_formula_sum 'Sr1 Y1 Al2'
_space_group_name_H-M_alt 'P 4/m m m'
_space_group_IT_number 123
_space_group_name_Hall '-P 4 2'
_cell_length_a 3.748
_cell_length_b 3.748
_cell_length_c 7.361
_cell_angle_alpha 90.00
_cell_angle_beta 90.00
_cell_angle_gamma 90.00
loop_
_atom_site_label
_atom_site_fract_x
_atom_site_fract_y
_atom_site_fract_z
Sr1 0.000 0.000 0.000
Y1 0.000 0.000 0.500
Al1 0.500 0.500 0.288
```

Total magnetic moment ... 0.1 μB/cell
Volume ... 103.4 Å³/f.u.

=====

Stability, lowest: A